Record 1
VASP calculation (PBE) on a geometry-optimized RbIn3As structure.

a = 6.157 Å, b = 6.157 Å, c = 6.157 Å
α = 90.00°, β = 90.00°, γ = 90.00°
Fractional positions:
Rb1 0.000 0.000 0.000
In1 0.000 0.000 0.500
In2 0.000 0.500 0.000
In3 0.500 0.000 0.000
As1 0.500 0.500 0.500

## Properties
The total magnetization comes out at 0.001 μB per atom. The density is 3.59 g/cm3. The distance to the lowest polymorph of the same formula comes out at 4.98 eV/f.u. The calculation puts the formation energy at 1.176 eV/atom.

=====

Record 2
VASP calculation (PBE) on a geometry-optimized Rb2InAs2 structure.

a = 7.790 Å, b = 7.790 Å, c = 11.555 Å
α = 120.36°, β = 120.36°, γ = 35.49°
Fractional positions:
Rb1 0.014 0.014 0.169
Rb2 0.168 0.168 0.586
Rb3 0.832 0.832 0.414
Rb4 0.986 0.986 0.831
In1 0.298 0.298 0.142
In2 0.702 0.702 0.858
As1 0.326 0.326 0.925
As2 0.497 0.497 0.387
As3 0.503 0.503 0.613
As4 0.674 0.674 0.075

## Properties
The total magnetization comes out at 0.000 μB per atom. The density is 4.19 g/cm3. The calculation puts the formation energy at -0.365 eV/atom.

=====

Record 3
VASP calculation (PBE) on a geometry-optimized RbIn3As structure.

a = 5.635 Å, b = 5.635 Å, c = 5.635 Å
α = 90.00°, β = 90.00°, γ = 90.00°
Fractional positions:
Rb1 0.000 0.000 0.000
In1 0.000 0.500 0.500
In2 0.500 0.000 0.500
In3 0.500 0.500 0.000
As1 0.500 0.500 0.500

## Properties
The total magnetization comes out at 0.000 μB per atom. The density is 4.69 g/cm3. The distance to the lowest polymorph of the same formula comes out at 0.00 eV/f.u. The calculation puts the formation energy at 0.181 eV/atom.

=====

Record 4
VASP calculation (PBE) on a geometry-optimized RbIn2As structure.

a = 7.165 Å, b = 7.165 Å, c = 7.165 Å
α = 102.58°, β = 102.58°, γ = 124.37°
Fractional positions:
Rb1 0.000 0.000 0.000
Rb2 0.750 0.250 0.500
In1 0.200 0.125 0.575
In2 0.375 0.800 0.925
In3 0.550 0.625 0.425
In4 0.875 0.450 0.075
As1 0.250 0.750 0.500
As2 0.500 0.500 0.000

## Properties
The total magnetization comes out at 0.000 μB per atom. The density is 4.82 g/cm3. The calculation puts the formation energy at -0.108 eV/atom.

=====

Record 5
VASP calculation (PBE) on a geometry-optimized Rb2InAs2 structure.

a = 8.111 Å, b = 8.111 Å, c = 9.881 Å
α = 118.00°, β = 118.00°, γ = 50.10°
Fractional positions:
Rb1 0.155 0.155 0.000
Rb2 0.227 0.227 0.622
Rb3 0.773 0.773 0.378
Rb4 0.845 0.845 0.000
In1 0.489 0.489 0.324
In2 0.511 0.511 0.676
As1 0.336 0.336 0.393
As2 0.424 0.424 0.025
As3 0.576 0.576 0.975
As4 0.664 0.664 0.607

## Properties
The total magnetization comes out at 0.000 μB per atom. The density is 3.39 g/cm3. The calculation puts the formation energy at -0.349 eV/atom.

=====

Record 6
VASP calculation (PBE) on a geometry-optimized Rb2In2As3 structure.

a = 9.666 Å, b = 9.666 Å, c = 12.978 Å
α = 123.51°, β = 123.51°, γ = 27.49°
Fractional positions:
Rb1 0.128 0.128 0.479
Rb2 0.232 0.232 0.839
Rb3 0.768 0.768 0.161
Rb4 0.872 0.872 0.521
In1 0.086 0.086 0.144
In2 0.474 0.474 0.213
In3 0.526 0.526 0.787
In4 0.914 0.914 0.856
As1 0.094 0.094 0.938
As2 0.357 0.357 0.717
As3 0.438 0.438 0.390
As4 0.562 0.562 0.610
As5 0.643 0.643 0.283
As6 0.906 0.906 0.062

## Properties
The total magnetization comes out at 0.000 μB per atom. The density is 4.51 g/cm3. The calculation puts the formation energy at -0.353 eV/atom.

=====

Record 7
VASP calculation (PBE) on a geometry-optimized RbInReAs2 structure.

a = 4.846 Å, b = 4.846 Å, c = 6.388 Å
α = 90.00°, β = 90.00°, γ = 90.00°
Fractional positions:
Rb1 0.000 0.000 0.000
In1 0.500 0.500 0.000
Re1 0.000 0.000 0.500
As1 0.000 0.500 0.500
As2 0.500 0.000 0.500

## Properties
The total magnetization comes out at 0.000 μB per atom. The density is 5.94 g/cm3. The calculation puts the formation energy at 0.582 eV/atom.

=====

Record 8
VASP calculation (PBE) on a geometry-optimized Rb2In2As2S structure.

a = 3.968 Å, b = 6.987 Å, c = 8.559 Å
α = 108.46°, β = 90.05°, γ = 106.37°
Fractional positions:
Rb1 0.001 0.004 0.210
Rb2 0.999 0.996 0.790
In1 0.295 0.588 0.370
In2 0.705 0.412 0.630
As1 0.279 0.559 0.927
As2 0.721 0.441 0.073
S1 0.500 0.000 0.500

## Properties
The total magnetization comes out at 0.000 μB per atom. For the formation energy (no corrections), the calculation gives -0.391 eV/atom. The density is 4.50 g/cm3.

=====

Record 9
VASP calculation (PBE) on a geometry-optimized Rb2InSbAs structure.

a = 7.083 Å, b = 7.083 Å, c = 5.507 Å
α = 90.00°, β = 90.00°, γ = 90.00°
Fractional positions:
Rb1 0.000 0.500 0.000
Rb2 0.500 0.000 0.000
In1 0.000 0.000 0.000
Sb1 0.000 0.000 0.500
As1 0.500 0.500 0.500

## Properties
The total magnetization comes out at 0.445 μB per atom. For the formation energy (no corrections), the calculation gives 0.357 eV/atom. The density is 2.90 g/cm3.

=====

Record 10
VASP calculation (PBE) on a geometry-optimized RbInAs2Se structure.

a = 5.367 Å, b = 5.367 Å, c = 5.604 Å
α = 90.00°, β = 90.00°, γ = 90.00°
Fractional positions:
Rb1 0.000 0.000 0.000
In1 0.500 0.500 0.500
As1 0.000 0.500 0.500
As2 0.500 0.000 0.500
Se1 0.500 0.500 0.000

## Properties
The total magnetization comes out at 0.300 μB per atom. For the formation energy (no corrections), the calculation gives 0.182 eV/atom. The density is 4.41 g/cm3. The distance to the lowest polymorph of the same formula comes out at 0.00 eV/f.u.

=====

Record 11
VASP calculation (PBE) on a geometry-optimized RbInAs2Se structure.

a = 5.819 Å, b = 5.819 Å, c = 5.966 Å
α = 90.00°, β = 90.00°, γ = 90.00°
Fractional positions:
Rb1 0.000 0.000 0.000
In1 0.500 0.500 0.500
As1 0.000 0.500 0.000
As2 0.500 0.000 0.000
Se1 0.000 0.000 0.500

## Properties
The total magnetization comes out at 0.319 μB per atom. For the formation energy (no corrections), the calculation gives 1.201 eV/atom. The density is 3.53 g/cm3. The distance to the lowest polymorph of the same formula comes out at 5.09 eV/f.u.

=====

Record 12
VASP calculation (PBE) on a geometry-optimized Rb2In4Sn3As structure.

a = 5.233 Å, b = 5.233 Å, c = 11.688 Å
α = 90.00°, β = 90.00°, γ = 90.00°
Fractional positions:
Rb1 0.000 0.500 0.241
Rb2 0.500 0.000 0.759
In1 0.000 0.000 0.500
In2 0.000 0.500 0.882
In3 0.500 0.000 0.118
In4 0.500 0.500 0.500
Sn1 0.000 0.000 0.000
Sn2 0.000 0.500 0.632
Sn3 0.500 0.000 0.368
As1 0.500 0.500 0.000

## Properties
The total magnetization comes out at 0.000 μB per atom. The density is 5.50 g/cm3. The calculation puts the formation energy at -0.163 eV/atom.

=====

Record 13
VASP calculation (PBE) on a geometry-optimized RbInTe3As structure.

a = 9.821 Å, b = 4.357 Å, c = 11.660 Å
α = 90.00°, β = 105.06°, γ = 90.00°
Fractional positions:
Rb1 0.181 0.250 0.209
Rb2 0.819 0.750 0.791
In1 0.095 0.250 0.625
In2 0.905 0.750 0.375
Te1 0.144 0.250 0.868
Te2 0.205 0.750 0.515
Te3 0.451 0.750 0.132
Te4 0.549 0.250 0.868
Te5 0.795 0.250 0.485
Te6 0.856 0.750 0.132
As1 0.370 0.750 0.862
As2 0.630 0.250 0.138

## Properties
The total magnetization comes out at 0.000 μB per atom. For the formation energy (no corrections), the calculation gives -0.328 eV/atom. The density is 4.54 g/cm3.

=====

Record 14
VASP calculation (PBE) on a geometry-optimized Rb2TlInAs2 structure.

a = 9.469 Å, b = 9.469 Å, c = 9.469 Å
α = 134.06°, β = 65.45°, γ = 136.06°
Fractional positions:
Rb1 0.173 0.236 0.409
Rb2 0.327 0.736 0.062
Rb3 0.673 0.264 0.938
Rb4 0.827 0.764 0.591
Tl1 0.250 0.250 0.000
Tl2 0.750 0.750 0.000
In1 0.250 0.750 0.500
In2 0.750 0.250 0.500
As1 0.100 0.694 0.794
As2 0.400 0.194 0.594
As3 0.600 0.806 0.406
As4 0.900 0.306 0.206

## Properties
The total magnetization comes out at 0.000 μB per atom. The density is 5.10 g/cm3. The calculation puts the formation energy at -0.328 eV/atom.

=====

Record 15
VASP calculation (PBE) on a geometry-optimized Rb2InAsW structure.

a = 6.623 Å, b = 6.623 Å, c = 5.382 Å
α = 90.00°, β = 90.00°, γ = 90.00°
Fractional positions:
Rb1 0.000 0.500 0.000
Rb2 0.500 0.000 0.000
In1 0.000 0.000 0.500
As1 0.500 0.500 0.500
W1 0.000 0.000 0.000

## Properties
The total magnetization comes out at 1.120 μB per atom. The density is 3.83 g/cm3. The calculation puts the formation energy at 1.386 eV/atom.

=====

Record 16
VASP calculation (PBE) on a geometry-optimized Rb2ZrInAs structure.

a = 7.101 Å, b = 7.101 Å, c = 5.109 Å
α = 90.00°, β = 90.00°, γ = 90.00°
Fractional positions:
Rb1 0.000 0.500 0.000
Rb2 0.500 0.000 0.000
Zr1 0.000 0.000 0.500
In1 0.500 0.500 0.000
As1 0.500 0.500 0.500

## Properties
The total magnetization comes out at 0.566 μB per atom. The density is 2.91 g/cm3. The calculation puts the formation energy at 0.931 eV/atom.

=====

Record 17
VASP calculation (PBE) on a geometry-optimized InReAs2 structure.

a = 3.289 Å, b = 4.283 Å, c = 5.937 Å
α = 90.00°, β = 105.65°, γ = 90.00°
Fractional positions:
In1 0.000 0.000 0.000
Re1 0.608 0.500 0.219
As1 0.269 0.500 0.550
As2 0.733 0.000 0.476

## Properties
The total magnetization comes out at 0.000 μB per atom. The density is 9.30 g/cm3. The calculation puts the formation energy at 0.374 eV/atom.

=====

Record 18
VASP calculation (PBE) on a geometry-optimized InRe2As structure.

a = 2.984 Å, b = 2.984 Å, c = 8.643 Å
α = 90.00°, β = 90.00°, γ = 118.29°
Fractional positions:
In1 0.000 0.000 0.000
Re1 0.500 0.500 0.276
Re2 0.500 0.500 0.724
As1 0.000 0.000 0.500

## Properties
The total magnetization comes out at 0.000 μB per atom. The density is 13.77 g/cm3. The distance to the lowest polymorph of the same formula comes out at 2.02 eV/f.u. The calculation puts the formation energy at 0.688 eV/atom.

=====

Record 19
VASP calculation (PBE) on a geometry-optimized InReAs2 structure.

a = 7.290 Å, b = 7.290 Å, c = 7.290 Å
α = 131.99°, β = 131.99°, γ = 70.25°
Fractional positions:
In1 0.000 0.000 0.000
In2 0.750 0.250 0.500
Re1 0.250 0.750 0.500
Re2 0.500 0.500 0.000
As1 0.184 0.625 0.059
As2 0.375 0.434 0.559
As3 0.566 0.125 0.941
As4 0.875 0.816 0.441

## Properties
The total magnetization comes out at 0.000 μB per atom. The density is 7.14 g/cm3. The calculation puts the formation energy at 0.358 eV/atom.

=====

Record 20
VASP calculation (PBE) on a geometry-optimized InRe2As structure.

a = 4.880 Å, b = 4.880 Å, c = 4.972 Å
α = 106.01°, β = 106.01°, γ = 37.07°
Fractional positions:
In1 0.000 0.000 0.000
Re1 0.239 0.239 0.781
Re2 0.504 0.504 0.486
As1 0.767 0.767 0.386

## Properties
The total magnetization comes out at 0.000 μB per atom. The density is 13.67 g/cm3. The distance to the lowest polymorph of the same formula comes out at 1.45 eV/f.u. The calculation puts the formation energy at 0.544 eV/atom.

=====

Record 21
VASP calculation (PBE) on a geometry-optimized InReAs2 structure.

a = 3.098 Å, b = 3.098 Å, c = 8.187 Å
α = 90.00°, β = 90.00°, γ = 90.00°
Fractional positions:
In1 0.000 0.000 0.000
Re1 0.000 0.000 0.500
As1 0.500 0.500 0.316
As2 0.500 0.500 0.684

## Properties
The total magnetization comes out at 0.000 μB per atom. The density is 9.53 g/cm3. The calculation puts the formation energy at 0.077 eV/atom.

=====

Record 22
VASP calculation (PBE) on a geometry-optimized InRe4As structure.

a = 5.285 Å, b = 5.285 Å, c = 5.285 Å
α = 60.00°, β = 60.00°, γ = 60.00°
Fractional positions:
In1 0.000 0.000 0.000
Re1 0.127 0.624 0.624
Re2 0.624 0.127 0.624
Re3 0.624 0.624 0.127
Re4 0.624 0.624 0.624
As1 0.250 0.250 0.250

## Properties
The total magnetization comes out at 0.000 μB per atom. The density is 14.87 g/cm3. The calculation puts the formation energy at 0.672 eV/atom.

=====

Record 23
VASP calculation (PBE) on a geometry-optimized InRe2As structure.

a = 5.727 Å, b = 5.727 Å, c = 5.727 Å
α = 148.52°, β = 136.10°, γ = 55.01°
Fractional positions:
In1 0.000 0.000 0.000
Re1 0.307 0.807 0.500
Re2 0.549 0.549 0.000
As1 0.745 0.245 0.500

## Properties
The total magnetization comes out at 0.000 μB per atom. The density is 13.81 g/cm3. The distance to the lowest polymorph of the same formula comes out at 1.65 eV/f.u. The calculation puts the formation energy at 0.593 eV/atom.

=====

Record 24
VASP calculation (PBE) on a geometry-optimized InRe2As2 structure.

a = 6.471 Å, b = 6.471 Å, c = 6.471 Å
α = 144.45°, β = 144.45°, γ = 51.16°
Fractional positions:
In1 0.000 0.000 0.000
Re1 0.383 0.383 0.000
Re2 0.617 0.617 0.000
As1 0.250 0.750 0.500
As2 0.750 0.250 0.500

## Properties
The total magnetization comes out at 0.000 μB per atom. The density is 11.61 g/cm3. The distance to the lowest polymorph of the same formula comes out at 0.00 eV/f.u. The calculation puts the formation energy at 0.409 eV/atom.

=====

Record 25
VASP calculation (PBE) on a geometry-optimized InReAs2 structure.

a = 3.744 Å, b = 4.361 Å, c = 4.968 Å
α = 90.00°, β = 100.85°, γ = 90.00°
Fractional positions:
In1 0.000 0.000 0.000
Re1 0.500 0.000 0.500
As1 0.418 0.500 0.747
As2 0.582 0.500 0.253

## Properties
The total magnetization comes out at 0.000 μB per atom. The density is 9.40 g/cm3. The calculation puts the formation energy at 0.427 eV/atom.

=====

Record 26
VASP calculation (PBE) on a geometry-optimized InReAs2 structure.

a = 3.331 Å, b = 4.658 Å, c = 4.690 Å
α = 90.00°, β = 90.00°, γ = 90.00°
Fractional positions:
In1 0.000 0.000 0.000
Re1 0.500 0.500 0.000
As1 0.000 0.500 0.500
As2 0.500 0.000 0.500

## Properties
The total magnetization comes out at 0.000 μB per atom. The density is 10.29 g/cm3. The calculation puts the formation energy at 0.734 eV/atom.

=====

Record 27
VASP calculation (PBE) on a geometry-optimized InRe2As structure.

a = 2.836 Å, b = 2.836 Å, c = 10.432 Å
α = 90.00°, β = 90.00°, γ = 117.69°
Fractional positions:
In1 0.000 0.000 0.000
Re1 0.000 0.000 0.461
Re2 0.500 0.500 0.254
As1 0.500 0.500 0.673

## Properties
The total magnetization comes out at 0.000 μB per atom. The density is 12.56 g/cm3. The distance to the lowest polymorph of the same formula comes out at 1.20 eV/f.u. The calculation puts the formation energy at 0.483 eV/atom.

=====

We obtain calculated total energy values of -1.591 -3.160 -2.586 -2.882 -3.144 -3.404 -4.509 -3.368 -2.333 -3.116 -2.097 -3.118 -3.291 -3.051 -3.070 -2.643 -5.748 -7.383 -5.763 -7.527 -6.045 -8.858 -7.478 -6.978 -5.694 -5.387 -7.588 eV/atom for the records listed above, in that order.
We obtain N(E_F) values of 3.8 2.9 4.4 0.0 0.2 2.6 3.8 1.5 4.6 3.7 6.2 3.0 1.8 1.1 2.5 7.4 1.3 3.2 3.5 2.2 1.6 2.7 3.4 4.4 1.5 3.2 2.9 states/eV/cell for the records listed above, in that order.